No. 1
Pu3NpSi2 | PBE | optimized geometry

Cell and atoms, written as POSCAR:
```
Pu3NpSi2
1.0
4.223 1.455 -2.448
-1.278 4.846 -0.907
1.334 -0.261 9.568
Si Pu Np
4 6 2
direct
0.746 0.050 0.418 Si
0.868 0.673 0.918 Si
0.254 0.950 0.582 Si
0.132 0.327 0.082 Si
0.855 0.105 0.750 Pu
0.145 0.895 0.250 Pu
0.791 0.637 0.591 Pu
0.455 0.800 0.091 Pu
0.209 0.363 0.409 Pu
0.545 0.200 0.909 Pu
0.293 0.543 0.750 Np
0.707 0.457 0.250 Np
```

Results
Space-group type = C2/c, No. 15
Formation energy (no corrections) = -0.245 eV per atom



No. 2
PuNp2Si6 | PBE | optimized geometry

Cell and atoms, written as POSCAR:
```
PuNp2Si6
1.0
3.835 0.000 0.000
0.000 6.070 -3.505
0.000 0.000 7.009
Si Np Pu
6 2 1
direct
0.500 0.000 0.667 Si
0.500 0.333 0.000 Si
0.500 0.667 0.000 Si
0.500 0.667 0.667 Si
0.500 0.333 0.333 Si
0.500 0.000 0.333 Si
0.000 0.667 0.333 Np
0.000 0.333 0.667 Np
0.000 0.000 0.000 Pu
```

Results
Space-group type = P6/mmm, No. 191
Formation energy (no corrections) = -0.344 eV per atom



No. 3
PuNpSi2 | PBE | optimized geometry

Cell and atoms, written as POSCAR:
```
PuNpSi2
1.0
-0.453 -2.786 -2.864
0.781 -3.157 2.948
-4.291 -0.224 0.897
Si Pu Np
2 1 1
direct
0.000 0.500 0.000 Si
0.000 0.000 0.500 Si
0.500 0.000 0.000 Pu
0.500 0.500 0.500 Np
```

Results
Space-group type = P4/mmm, No. 123
Formation energy (no corrections) = -0.131 eV per atom
E above lowest polymorph = 98 meV/atom



No. 4
Pu2NpSi | PBE | optimized geometry

Cell and atoms, written as POSCAR:
```
Pu2NpSi
1.0
4.703 0.000 0.000
2.351 4.073 0.000
2.351 1.358 3.840
Pu Si Np
2 1 1
direct
0.750 0.750 0.750 Pu
0.250 0.250 0.250 Pu
0.500 0.500 0.500 Si
0.000 0.000 0.000 Np
```

Results
Space-group type = Fm-3m, No. 225
Formation energy (no corrections) = 0.065 eV per atom
E above lowest polymorph = 173 meV/atom



No. 5
Pu4Np2Si3 | PBE | optimized geometry

Cell and atoms, written as POSCAR:
```
Pu4Np2Si3
1.0
-0.313 -7.751 0.519
5.723 -1.240 5.113
-4.327 1.128 4.087
Np Pu Si
4 8 6
direct
0.202 0.471 0.363 Np
0.529 0.798 0.137 Np
0.798 0.529 0.637 Np
0.471 0.202 0.863 Np
0.984 0.274 0.389 Pu
0.016 0.726 0.611 Pu
0.205 0.423 0.951 Pu
0.795 0.577 0.049 Pu
0.726 0.016 0.111 Pu
0.577 0.795 0.549 Pu
0.274 0.984 0.889 Pu
0.423 0.205 0.451 Pu
0.070 0.776 0.106 Si
0.451 0.549 0.750 Si
0.224 0.930 0.394 Si
0.930 0.224 0.894 Si
0.776 0.070 0.606 Si
0.549 0.451 0.250 Si
```

Results
Space-group type = C2/c, No. 15
Formation energy (no corrections) = -0.050 eV per atom



No. 6
PuNpSi4 | PBE | optimized geometry

Cell and atoms, written as POSCAR:
```
PuNpSi4
1.0
-0.251 3.311 -1.847
-0.343 -3.977 -7.083
-14.597 -0.541 1.010
Si Np Pu
16 4 4
direct
0.500 0.276 0.313 Si
0.500 0.991 0.294 Si
0.500 0.224 0.813 Si
0.500 0.009 0.706 Si
0.500 0.330 0.075 Si
0.500 0.776 0.187 Si
0.500 0.724 0.687 Si
0.500 0.170 0.575 Si
0.500 0.670 0.925 Si
0.500 0.629 0.536 Si
0.500 0.129 0.964 Si
0.500 0.371 0.464 Si
0.500 0.830 0.425 Si
0.500 0.509 0.794 Si
0.500 0.491 0.206 Si
0.500 0.871 0.036 Si
0.000 0.909 0.564 Np
0.000 0.091 0.436 Np
0.000 0.409 0.936 Np
0.000 0.591 0.064 Np
0.000 0.421 0.648 Pu
0.000 0.579 0.352 Pu
0.000 0.079 0.148 Pu
0.000 0.921 0.852 Pu
```

Results
Space-group type = Pbam, No. 55
Formation energy (no corrections) = -0.208 eV per atom
E above lowest polymorph = 56 meV/atom



No. 7
PuNpSi2 | PBE | optimized geometry

Cell and atoms, written as POSCAR:
```
PuNpSi2
1.0
-4.561 1.594 0.532
-3.629 -3.176 0.605
-2.215 -0.366 4.312
Si Pu Np
2 1 1
direct
0.750 0.750 0.750 Si
0.250 0.250 0.250 Si
0.000 0.000 0.000 Pu
0.500 0.500 0.500 Np
```

Results
Space-group type = Fm-3m, No. 225
Formation energy (no corrections) = -0.143 eV per atom
E above lowest polymorph = 86 meV/atom



No. 8
PuNpSi2 | PBE | optimized geometry

Cell and atoms, written as POSCAR:
```
PuNpSi2
1.0
-0.806 -0.510 -2.950
0.085 -3.058 0.505
-7.836 0.131 2.119
Si Np Pu
2 1 1
direct
0.000 0.000 0.752 Si
0.000 0.000 0.248 Si
0.500 0.500 0.000 Np
0.500 0.500 0.500 Pu
```

Results
Space-group type = P4/mmm, No. 123
Formation energy (no corrections) = -0.229 eV per atom
E above lowest polymorph = 0 meV/atom



No. 9
Pu2NpSi | PBE | optimized geometry

Cell and atoms, written as POSCAR:
```
Pu2NpSi
1.0
3.567 0.000 0.002
0.000 6.572 0.000
0.003 0.000 6.899
Pu Np Si
4 2 2
direct
0.299 0.669 0.796 Pu
0.799 0.169 0.988 Pu
0.298 0.613 0.413 Pu
0.800 0.113 0.371 Pu
0.299 0.402 0.067 Np
0.799 0.902 0.717 Np
0.799 0.749 0.108 Si
0.299 0.249 0.676 Si
```

Results
Space-group type = P2_1, No. 4
Formation energy (no corrections) = -0.009 eV per atom
E above lowest polymorph = 99 meV/atom



No. 10
PuNp2Si | PBE | optimized geometry

Cell and atoms, written as POSCAR:
```
PuNp2Si
1.0
-3.690 -0.972 1.085
-0.536 -2.773 -2.786
-0.442 -5.455 2.177
Np Si Pu
2 1 1
direct
0.235 0.908 0.079 Np
0.897 0.570 0.975 Np
0.726 0.399 0.578 Si
0.279 0.952 0.481 Pu
```

Results
Space-group type = Cm, No. 8
Formation energy (no corrections) = 0.114 eV per atom
E above lowest polymorph = 194 meV/atom



No. 11
Pu3NpSi7 | PBE | optimized geometry

Cell and atoms, written as POSCAR:
```
Pu3NpSi7
1.0
-2.798 -2.236 -2.146
6.413 2.075 -6.462
5.742 -9.673 2.592
Pu Si Np
6 14 2
direct
0.239 0.478 0.750 Pu
0.893 0.785 0.544 Pu
0.107 0.215 0.044 Pu
0.761 0.522 0.250 Pu
0.107 0.215 0.456 Pu
0.893 0.785 0.956 Pu
0.371 0.743 0.353 Si
0.731 0.462 0.534 Si
0.629 0.257 0.647 Si
0.406 0.813 0.750 Si
0.269 0.538 0.466 Si
0.731 0.462 0.966 Si
0.371 0.743 0.147 Si
0.498 0.996 0.401 Si
0.269 0.538 0.034 Si
0.502 0.004 0.901 Si
0.594 0.187 0.250 Si
0.498 0.996 0.099 Si
0.629 0.257 0.853 Si
0.502 0.004 0.599 Si
0.960 0.920 0.250 Np
0.040 0.080 0.750 Np
```

Results
Space-group type = Cmcm, No. 63
Formation energy (no corrections) = -0.304 eV per atom



No. 12
Pu2NpSi | PBE | optimized geometry

Cell and atoms, written as POSCAR:
```
Pu2NpSi
1.0
-1.021 2.850 2.004
-3.085 -1.710 0.861
2.690 -2.425 4.819
Pu Np Si
2 1 1
direct
0.000 0.000 0.735 Pu
0.000 0.000 0.265 Pu
0.500 0.500 0.000 Np
0.500 0.500 0.500 Si
```

Results
Space-group type = P4/mmm, No. 123
Formation energy (no corrections) = -0.027 eV per atom
E above lowest polymorph = 82 meV/atom



No. 13
Sm2Pu3NpTe6 | PBE | optimized geometry

Cell and atoms, written as POSCAR:
```
Sm2Pu3NpTe6
1.0
-2.238 -3.577 -1.315
3.778 0.569 -7.975
7.241 -3.860 5.602
Te Pu Np Sm
6 3 1 2
direct
0.333 0.918 0.666 Te
0.333 0.415 0.665 Te
0.001 0.752 0.002 Te
0.999 0.248 0.998 Te
0.667 0.585 0.335 Te
0.667 0.082 0.334 Te
0.500 0.500 0.000 Pu
0.168 0.834 0.336 Pu
0.832 0.166 0.664 Pu
0.500 0.000 0.000 Np
0.165 0.332 0.330 Sm
0.835 0.668 0.670 Sm
```

Results
Space-group type = C2/m, No. 12
Formation energy (no corrections) = -1.103 eV per atom



No. 14
Sm3Pu2NpTe6 | PBE | optimized geometry

Cell and atoms, written as POSCAR:
```
Sm3Pu2NpTe6
1.0
-0.788 2.777 -3.347
-5.808 -5.774 -3.424
-5.105 4.030 7.464
Sm Np Te Pu
3 1 6 2
direct
0.500 0.500 0.000 Sm
0.833 0.164 0.666 Sm
0.167 0.836 0.334 Sm
0.500 0.000 0.000 Np
0.000 0.248 0.000 Te
0.334 0.914 0.668 Te
0.668 0.583 0.335 Te
0.332 0.417 0.665 Te
0.000 0.752 0.000 Te
0.666 0.086 0.332 Te
0.834 0.665 0.667 Pu
0.166 0.335 0.333 Pu
```

Results
Space-group type = C2/m, No. 12
Formation energy (no corrections) = -1.160 eV per atom



No. 15
PuNpSn2 | PBE | optimized geometry

Cell and atoms, written as POSCAR:
```
PuNpSn2
1.0
5.327 0.000 0.000
2.663 4.613 0.000
2.663 1.538 4.349
Sn Np Pu
2 1 1
direct
0.750 0.750 0.750 Sn
0.250 0.250 0.250 Sn
0.000 0.000 0.000 Np
0.500 0.500 0.500 Pu
```

Results
DFT formation energy = -0.01 eV/atom
Space-group type = Fm-3m, No. 225



No. 16
Pu2NpSn9 | PBE | optimized geometry

Cell and atoms, written as POSCAR:
```
Pu2NpSn9
1.0
-3.057 -0.652 3.397
-1.627 -3.729 -2.181
9.085 -7.863 6.668
Sn Pu Np
9 2 1
direct
0.000 0.500 0.169 Sn
0.500 0.500 0.334 Sn
0.500 0.000 0.831 Sn
0.500 0.000 0.169 Sn
0.500 0.500 0.666 Sn
0.500 0.000 0.500 Sn
0.000 0.500 0.831 Sn
0.000 0.500 0.500 Sn
0.500 0.500 0.000 Sn
0.000 0.000 0.335 Pu
0.000 0.000 0.665 Pu
0.000 0.000 0.000 Np
```

Results
DFT formation energy = 0.07 eV/atom
Space-group type = P4/mmm, No. 123



No. 17
PuNpSn | PBE | optimized geometry

Cell and atoms, written as POSCAR:
```
PuNpSn
1.0
-0.328 -1.841 -2.801
2.859 -3.636 2.054
-5.021 -0.067 0.633
Sn Pu Np
1 1 1
direct
0.669 0.667 0.333 Sn
0.125 0.333 0.667 Pu
0.207 0.000 0.000 Np
```

Results
DFT formation energy = 0.05 eV/atom
Space-group type = P3m1, No. 156
E above lowest polymorph = 0 meV/atom



No. 18
Pu2NpSn | PBE | optimized geometry

Cell and atoms, written as POSCAR:
```
Pu2NpSn
1.0
-2.328 1.736 -2.243
0.212 -0.522 -3.625
-6.332 -6.317 -1.317
Sn Pu Np
1 2 1
direct
0.000 0.000 0.000 Sn
0.883 0.883 0.352 Pu
0.117 0.117 0.648 Pu
0.500 0.500 0.500 Np
```

Results
DFT formation energy = 0.47 eV/atom
Space-group type = R-3m, No. 166
E above lowest polymorph = 511 meV/atom



No. 19
Pu2NpSn | PBE | optimized geometry

Cell and atoms, written as POSCAR:
```
Pu2NpSn
1.0
-3.563 1.175 -2.760
-2.905 -0.137 3.693
0.850 4.546 0.838
Pu Np Sn
2 1 1
direct
0.000 0.500 0.000 Pu
0.000 0.000 0.500 Pu
0.500 0.500 0.500 Np
0.500 0.000 0.000 Sn
```

Results
DFT formation energy = -0.04 eV/atom
Space-group type = P4/mmm, No. 123
E above lowest polymorph = 0 meV/atom



No. 20
PuNpSn2 | PBE | optimized geometry

Cell and atoms, written as POSCAR:
```
PuNpSn2
1.0
-4.334 0.404 1.614
-1.643 -0.057 -4.397
-0.363 -4.676 0.196
Sn Pu Np
2 1 1
direct
0.000 0.000 0.500 Sn
0.000 0.500 0.000 Sn
0.500 0.500 0.500 Pu
0.500 0.000 0.000 Np
```

Results
DFT formation energy = -0.20 eV/atom
Space-group type = P4/mmm, No. 123



No. 21
PuNpSn | PBE | optimized geometry

Cell and atoms, written as POSCAR:
```
PuNpSn
1.0
3.564 0.000 0.000
-1.782 3.900 -1.761
0.000 -4.594 11.854
Sn Np Pu
2 2 2
direct
0.533 0.065 0.403 Sn
0.467 0.935 0.597 Sn
0.368 0.736 0.866 Np
0.632 0.264 0.134 Np
0.982 0.963 0.173 Pu
0.018 0.037 0.827 Pu
```

Results
DFT formation energy = 0.12 eV/atom
Space-group type = C2/m, No. 12
E above lowest polymorph = 72 meV/atom



No. 22
PuNpTc2 | PBE | optimized geometry

Cell and atoms, written as POSCAR:
```
PuNpTc2
1.0
4.756 0.000 0.000
2.378 4.119 0.000
2.378 1.373 3.883
Np Tc Pu
1 2 1
direct
0.500 0.500 0.500 Np
0.250 0.250 0.250 Tc
0.750 0.750 0.750 Tc
0.000 0.000 0.000 Pu
```

Results
DFT formation energy = 0.15 eV/atom
Space-group type = Fm-3m, No. 225
E above lowest polymorph = 25 meV/atom



No. 23
PuNpTc2 | PBE | optimized geometry

Cell and atoms, written as POSCAR:
```
PuNpTc2
1.0
3.345 0.000 0.000
0.000 3.345 0.000
0.000 0.000 6.815
Pu Tc Np
1 2 1
direct
0.500 0.500 0.500 Pu
0.000 0.000 0.228 Tc
0.000 0.000 0.772 Tc
0.500 0.500 0.000 Np
```

Results
DFT formation energy = 0.12 eV/atom
Space-group type = P4/mmm, No. 123
E above lowest polymorph = 0 meV/atom



No. 24
Pu2NpTc3 | PBE | optimized geometry

Cell and atoms, written as POSCAR:
```
Pu2NpTc3
1.0
-3.050 0.658 4.860
-0.548 -4.830 -3.120
5.150 -0.494 -0.125
Tc Np Pu
3 1 2
direct
0.000 0.000 0.500 Tc
0.500 0.500 0.500 Tc
0.500 0.000 0.500 Tc
0.000 0.000 0.000 Np
0.762 0.381 0.143 Pu
0.238 0.619 0.857 Pu
```

Results
DFT formation energy = 0.02 eV/atom
Space-group type = R-3m, No. 166



Table of magnetization (μB/f.u.), in record order: 2.78, 2.59, 1.62, 6.73, 13.81, 3.94, 9.61, 9.16, 3.82, 2.55, 1.42, 6.81, 1.19, 7.03, 1.41, 4.10, 10.63, 5.51, 16.35, 10.50, 2.14, 6.74, 6.46, 9.98
Table of electronic total energy (eV per atom), in record order: -11.3755, -8.4273, -9.6607, -11.6923, -11.1033, -8.3685, -9.6729, -9.7590, -11.7663, -11.2952, -8.8398, -11.7835, -8.1221, -7.3773, -8.8257, -6.4023, -10.3728, -10.9318, -11.4426, -9.0172, -10.3007, -11.8527, -11.8780, -12.0921
Table of density (g cm⁻³), in record order: 15.08, 9.02, 11.51, 17.00, 14.28, 8.71, 10.98, 11.43, 15.47, 15.91, 8.82, 15.74, 9.17, 8.74, 11.16, 10.17, 13.33, 13.67, 13.61, 11.66, 14.65, 14.78, 14.74, 14.79